[1]
The following is a DFT calculation (PBE-GGA) of crystalline HfHIr2Pd at its relaxed geometry.

Cell: 3.984 3.984 4.131 Å, 90.00 90.00 90.00°
Fractional coordinates of all 5 atoms:
H: 0.000 0.000 0.000
Ir: 0.000 0.500 0.000
Ir: 0.500 0.000 0.000
Hf: 0.000 0.000 0.500
Pd: 0.500 0.500 0.500

Summary:
Excess energy over the best structure of this formula in the dataset, meV per atom: 48
Space group: P4/mmm (123)

=====

[2]
The following is a DFT calculation (PBE-GGA) of crystalline HfHIr2Pt at its relaxed geometry.

Cell: 4.058 4.058 3.998 Å, 90.00 90.00 90.00°
Fractional coordinates of all 5 atoms:
H: 0.000 0.000 0.000
Ir: 0.000 0.500 0.000
Ir: 0.500 0.000 0.000
Hf: 0.500 0.500 0.500
Pt: 0.000 0.000 0.500

Summary:
Excess energy over the best structure of this formula in the dataset, meV per atom: 0
Space group: P4/mmm (123)

=====

[3]
The following is a DFT calculation (PBE-GGA) of crystalline HfHIr2Pt at its relaxed geometry.

Cell: 3.989 3.989 4.128 Å, 90.00 90.00 90.00°
Fractional coordinates of all 5 atoms:
H: 0.000 0.000 0.000
Ir: 0.000 0.500 0.000
Ir: 0.500 0.000 0.000
Hf: 0.000 0.000 0.500
Pt: 0.500 0.500 0.500

Summary:
Excess energy over the best structure of this formula in the dataset, meV per atom: 11
Space group: P4/mmm (123)

=====

[4]
The following is a DFT calculation (PBE-GGA) of crystalline HfH8Ir2Pt at its relaxed geometry.

Cell: 3.884 4.950 6.288 Å, 62.68 72.01 66.90°
Fractional coordinates of all 12 atoms:
Hf: 0.500 0.500 0.500
H: 0.872 0.743 0.513
H: 0.692 0.467 0.149
H: 0.128 0.257 0.487
H: 0.308 0.533 0.851
H: 0.615 0.997 0.253
H: 0.385 0.003 0.747
H: 0.135 0.997 0.253
H: 0.865 0.003 0.747
Ir: 0.233 0.337 0.196
Ir: 0.767 0.663 0.804
Pt: 0.000 0.000 0.000

Summary:
Space group: C2/m (12)

=====

[5]
The following is a DFT calculation (PBE-GGA) of crystalline Hf2ReHIr at its relaxed geometry.

Cell: 4.523 4.523 3.568 Å, 90.00 90.00 90.00°
Fractional coordinates of all 5 atoms:
Re: 0.000 0.000 0.500
Ir: 0.500 0.500 0.500
Hf: 0.000 0.500 0.000
Hf: 0.500 0.000 0.000
H: 0.000 0.000 0.000

Summary:
Space group: P4/mmm (123)

=====

[6]
The following is a DFT calculation (PBE-GGA) of crystalline HfReHIr2 at its relaxed geometry.

Cell: 4.014 4.014 4.059 Å, 90.00 90.00 90.00°
Fractional coordinates of all 5 atoms:
Re: 0.000 0.000 0.500
Ir: 0.000 0.500 0.000
Ir: 0.500 0.000 0.000
Hf: 0.500 0.500 0.500
H: 0.000 0.000 0.000

Summary:
Space group: P4/mmm (123)

=====

[7]
The following is a DFT calculation (PBE-GGA) of crystalline Hf2HIrRh at its relaxed geometry.

Cell: 4.385 4.385 3.750 Å, 90.00 90.00 90.00°
Fractional coordinates of all 5 atoms:
Rh: 0.500 0.500 0.500
Ir: 0.000 0.000 0.500
Hf: 0.000 0.500 0.000
Hf: 0.500 0.000 0.000
H: 0.000 0.000 0.000

Summary:
Excess energy over the best structure of this formula in the dataset, meV per atom: 35
Space group: P4/mmm (123)

=====

[8]
The following is a DFT calculation (PBE-GGA) of crystalline HfHIrRh2 at its relaxed geometry.

Cell: 3.921 3.921 4.158 Å, 90.00 90.00 90.00°
Fractional coordinates of all 5 atoms:
Rh: 0.000 0.500 0.000
Rh: 0.500 0.000 0.000
Ir: 0.500 0.500 0.500
Hf: 0.000 0.000 0.500
H: 0.000 0.000 0.000

Summary:
Excess energy over the best structure of this formula in the dataset, meV per atom: 61
Space group: P4/mmm (123)

=====

[9]
The following is a DFT calculation (PBE-GGA) of crystalline Hf2HIrRh at its relaxed geometry.

Cell: 4.425 4.425 3.673 Å, 90.00 90.00 90.00°
Fractional coordinates of all 5 atoms:
Rh: 0.000 0.000 0.500
Ir: 0.500 0.500 0.500
Hf: 0.000 0.500 0.000
Hf: 0.500 0.000 0.000
H: 0.000 0.000 0.000

Summary:
Excess energy over the best structure of this formula in the dataset, meV per atom: 0
Space group: P4/mmm (123)

=====

[10]
The following is a DFT calculation (PBE-GGA) of crystalline HfHIrRh2 at its relaxed geometry.

Cell: 3.995 3.995 4.000 Å, 90.00 90.00 90.00°
Fractional coordinates of all 5 atoms:
Rh: 0.000 0.500 0.000
Rh: 0.500 0.000 0.000
Ir: 0.000 0.000 0.500
Hf: 0.500 0.500 0.500
H: 0.000 0.000 0.000

Summary:
Excess energy over the best structure of this formula in the dataset, meV per atom: 0
Space group: P4/mmm (123)

=====

[11]
The following is a DFT calculation (PBE-GGA) of crystalline HfHIr2Ru at its relaxed geometry.

Cell: 3.935 3.935 4.154 Å, 90.00 90.00 90.00°
Fractional coordinates of all 5 atoms:
Ru: 0.500 0.500 0.500
Ir: 0.000 0.500 0.000
Ir: 0.500 0.000 0.000
Hf: 0.000 0.000 0.500
H: 0.000 0.000 0.000

Summary:
Excess energy over the best structure of this formula in the dataset, meV per atom: 71
Space group: P4/mmm (123)

=====

[12]
The following is a DFT calculation (PBE-GGA) of crystalline HfHIr2Ru at its relaxed geometry.

Cell: 3.991 3.991 4.028 Å, 90.00 90.00 90.00°
Fractional coordinates of all 5 atoms:
Ru: 0.000 0.000 0.500
Ir: 0.000 0.500 0.000
Ir: 0.500 0.000 0.000
Hf: 0.500 0.500 0.500
H: 0.000 0.000 0.000

Summary:
Excess energy over the best structure of this formula in the dataset, meV per atom: 0
Space group: P4/mmm (123)

=====

[13]
The following is a DFT calculation (PBE-GGA) of crystalline Hf2SnHIr at its relaxed geometry.

Cell: 4.382 4.382 4.093 Å, 90.00 90.00 90.00°
Fractional coordinates of all 5 atoms:
H: 0.000 0.000 0.000
Ir: 0.000 0.000 0.500
Hf: 0.000 0.500 0.000
Hf: 0.500 0.000 0.000
Sn: 0.500 0.500 0.500

Summary:
Space group: P4/mmm (123)

=====

[14]
The following is a DFT calculation (PBE-GGA) of crystalline HfSnHIr2 at its relaxed geometry.

Cell: 4.859 5.351 4.859 Å, 90.00 90.00 90.00°
Each line ends with the local moment (μB).
Fractional coordinates of all 5 atoms:
H: 0.500 0.500 0.500  0.20
Ir: 0.000 0.000 0.500  0.27
Ir: 0.500 0.000 0.000  0.19
Hf: 0.000 0.500 0.000  -0.35
Sn: 0.000 0.000 0.000  -0.02

Summary:
Space group: P4/mmm (123)

=====

[15]
The following is a DFT calculation (PBE-GGA) of crystalline Hf2TaHIr at its relaxed geometry.

Cell: 4.576 4.576 3.651 Å, 90.00 90.00 90.00°
Fractional coordinates of all 5 atoms:
H: 0.000 0.000 0.000
Ir: 0.500 0.500 0.500
Hf: 0.000 0.500 0.000
Hf: 0.500 0.000 0.000
Ta: 0.000 0.000 0.500

Summary:
Space group: P4/mmm (123)

=====

[16]
The following is a DFT calculation (PBE-GGA) of crystalline HfTiHIr2 at its relaxed geometry.

Cell: 4.111 4.111 3.953 Å, 90.00 90.00 90.00°
Fractional coordinates of all 5 atoms:
H: 0.000 0.000 0.000
Ir: 0.000 0.500 0.000
Ir: 0.500 0.000 0.000
Hf: 0.500 0.500 0.500
Ti: 0.000 0.000 0.500

Summary:
Space group: P4/mmm (123)

=====

[17]
The following is a DFT calculation (PBE-GGA) of crystalline Hf2VHIr at its relaxed geometry.

Cell: 4.534 4.534 3.436 Å, 90.00 90.00 90.00°
Fractional coordinates of all 5 atoms:
H: 0.000 0.000 0.000
Ir: 0.500 0.500 0.500
Hf: 0.000 0.500 0.000
Hf: 0.500 0.000 0.000
V: 0.000 0.000 0.500

Summary:
Space group: P4/mmm (123)

=====

[18]
The following is a DFT calculation (PBE-GGA) of crystalline YHfH2Ir at its relaxed geometry.

Cell: 3.810 6.696 3.810 Å, 90.00 90.00 90.00°
Fractional coordinates of all 5 atoms:
Y: 0.000 0.000 0.000
H: 0.000 0.000 0.500
H: 0.500 0.000 0.000
Ir: 0.500 0.500 0.500
Hf: 0.000 0.500 0.000

Summary:
Space group: P4/mmm (123)

=====

[19]
The following is a DFT calculation (PBE-GGA) of crystalline HfZnHIr2 at its relaxed geometry.

Cell: 4.139 4.139 3.822 Å, 90.00 90.00 90.00°
Fractional coordinates of all 5 atoms:
H: 0.000 0.000 0.000
Zn: 0.000 0.000 0.500
Ir: 0.000 0.500 0.000
Ir: 0.500 0.000 0.000
Hf: 0.500 0.500 0.500

Summary:
Excess energy over the best structure of this formula in the dataset, meV per atom: 19
Space group: P4/mmm (123)

=====

[20]
The following is a DFT calculation (PBE-GGA) of crystalline Hf2ZnHIr at its relaxed geometry.

Cell: 4.329 4.329 3.864 Å, 90.00 90.00 90.00°
Fractional coordinates of all 5 atoms:
H: 0.000 0.000 0.000
Zn: 0.000 0.000 0.500
Ir: 0.500 0.500 0.500
Hf: 0.000 0.500 0.000
Hf: 0.500 0.000 0.000

Summary:
Excess energy over the best structure of this formula in the dataset, meV per atom: 36
Space group: P4/mmm (123)

=====

[21]
The following is a DFT calculation (PBE-GGA) of crystalline Hf2ZnHIr at its relaxed geometry.

Cell: 4.486 4.486 3.674 Å, 90.00 90.00 90.00°
Fractional coordinates of all 5 atoms:
H: 0.000 0.000 0.000
Zn: 0.500 0.500 0.500
Ir: 0.000 0.000 0.500
Hf: 0.000 0.500 0.000
Hf: 0.500 0.000 0.000

Summary:
Excess energy over the best structure of this formula in the dataset, meV per atom: 0
Space group: P4/mmm (123)

=====

[22]
The following is a DFT calculation (PBE-GGA) of crystalline HfZnHIr2 at its relaxed geometry.

Cell: 4.073 4.073 3.956 Å, 90.00 90.00 90.00°
Fractional coordinates of all 5 atoms:
H: 0.000 0.000 0.000
Zn: 0.500 0.500 0.500
Ir: 0.000 0.500 0.000
Ir: 0.500 0.000 0.000
Hf: 0.000 0.000 0.500

Summary:
Excess energy over the best structure of this formula in the dataset, meV per atom: 0
Space group: P4/mmm (123)

=====

[23]
The following is a DFT calculation (PBE-GGA) of crystalline HfZr2HIr at its relaxed geometry.

Cell: 4.146 4.146 4.758 Å, 90.00 90.00 90.00°
Fractional coordinates of all 5 atoms:
H: 0.000 0.000 0.000
Ir: 0.500 0.500 0.500
Hf: 0.000 0.000 0.500
Zr: 0.000 0.500 0.000
Zr: 0.500 0.000 0.000

Summary:
Space group: P4/mmm (123)

=====

[24]
The following is a DFT calculation (PBE-GGA) of crystalline KHfH3 at its relaxed geometry.

Cell: 4.108 4.108 4.108 Å, 90.00 90.00 90.00°
Fractional coordinates of all 5 atoms:
H: 0.000 0.500 0.000
H: 0.000 0.000 0.500
H: 0.500 0.000 0.000
K: 0.000 0.000 0.000
Hf: 0.500 0.500 0.500

Summary:
Excess energy over the best structure of this formula in the dataset, meV per atom: 1081
Space group: Pm-3m (221)

=====

[25]
The following is a DFT calculation (PBE-GGA) of crystalline KHfH3 at its relaxed geometry.

Cell: 4.067 4.067 4.067 Å, 90.00 90.00 90.00°
Fractional coordinates of all 5 atoms:
H: 0.000 0.500 0.000
H: 0.000 0.000 0.500
H: 0.500 0.000 0.000
K: 0.500 0.500 0.500
Hf: 0.000 0.000 0.000

Summary:
Excess energy over the best structure of this formula in the dataset, meV per atom: 0
Space group: Pm-3m (221)

=====

[26]
The following is a DFT calculation (PBE-GGA) of crystalline K2HfH6 at its relaxed geometry.

Cell: 6.104 6.104 6.104 Å, 60.00 60.00 60.00°
Fractional coordinates of all 9 atoms:
H: 0.227 0.773 0.227
H: 0.773 0.227 0.227
H: 0.227 0.773 0.773
H: 0.773 0.227 0.773
H: 0.773 0.773 0.227
H: 0.227 0.227 0.773
K: 0.750 0.750 0.750
K: 0.250 0.250 0.250
Hf: 0.000 0.000 0.000

Summary:
Space group: Fm-3m (225)

=====

[27]
The following is a DFT calculation (PBE-GGA) of crystalline KLi2HfH at its relaxed geometry.

Cell: 4.284 6.456 4.284 Å, 90.00 90.00 90.00°
Each line ends with the local moment (μB).
Fractional coordinates of all 5 atoms:
H: 0.500 0.500 0.500  -0.02
K: 0.000 0.000 0.000  0.00
Hf: 0.000 0.500 0.000  0.39
Li: 0.000 0.000 0.500  -0.01
Li: 0.500 0.000 0.000  -0.01

Summary:
Space group: P4/mmm (123)

=====

no.,DOS at the Fermi energy (states/eV per cell),E_tot (eV for the cell shown)
1,3.24,-38.77
2,2.94,-40.13
3,3.02,-40.08
4,2.48,-60.37
5,2.21,-47.10
6,4.40,-45.13
7,3.57,-42.76
8,2.19,-39.92
9,4.49,-42.93
10,1.54,-40.22
11,3.48,-42.52
12,3.58,-42.88
13,4.17,-38.10
14,4.79,-24.70
15,3.79,-45.82
16,3.34,-41.77
17,4.01,-43.59
18,1.98,-30.70
19,1.65,-34.11
20,3.22,-35.33
21,2.23,-35.51
22,2.10,-34.21
23,5.55,-40.96
24,2.48,-15.56
25,2.59,-20.97
26,0.00,-32.78
27,3.47,-8.74